Record 1
# PBE NdSmMgCd, optimized geometry
# magnetic moment: 0.00 μB per formula unit
# space group: No. 47
# calculated volume: 114 Å³/f.u.
# final energy: -12.851 eV per cell
data_NdSmMgCd
_chemical_formula_sum 'Nd1 Sm1 Mg1 Cd1'
_symmetry_space_group_name_H-M 'P 1'
_symmetry_Int_Tables_number 1
_symmetry_space_group_name_Hall 'P 1'
_cell_length_a 3.881
_cell_length_b 5.406
_cell_length_c 5.423
_cell_angle_alpha 90.00
_cell_angle_beta 90.00
_cell_angle_gamma 90.00
loop_
_atom_site_label
_atom_site_type_symbol
_atom_site_fract_x
_atom_site_fract_y
_atom_site_fract_z
_atom_site_occupancy
Nd1 Nd 0.000 0.000 0.000 1
Sm1 Sm 0.000 0.500 0.500 1
Mg1 Mg 0.500 0.500 0.000 1
Cd1 Cd 0.500 0.000 0.500 1

Record 2
# PBE SrNdMgCd, optimized geometry
# magnetic moment: 0.00 μB per formula unit
# space group: No. 216
# calculated volume: 126 Å³/f.u.
# final energy: -38.505 eV per cell
data_SrNdMgCd
_chemical_formula_sum 'Sr4 Nd4 Mg4 Cd4'
_symmetry_space_group_name_H-M 'P 1'
_symmetry_Int_Tables_number 1
_symmetry_space_group_name_Hall 'P 1'
_cell_length_a 7.956
_cell_length_b 7.956
_cell_length_c 7.956
_cell_angle_alpha 90.00
_cell_angle_beta 90.00
_cell_angle_gamma 90.00
loop_
_atom_site_label
_atom_site_type_symbol
_atom_site_fract_x
_atom_site_fract_y
_atom_site_fract_z
_atom_site_occupancy
Sr1 Sr 0.000 0.000 0.000 1
Sr2 Sr 0.000 0.500 0.500 1
Sr3 Sr 0.500 0.000 0.500 1
Sr4 Sr 0.500 0.500 0.000 1
Nd1 Nd 0.000 0.000 0.500 1
Nd2 Nd 0.000 0.500 0.000 1
Nd3 Nd 0.500 0.000 0.000 1
Nd4 Nd 0.500 0.500 0.500 1
Mg1 Mg 0.250 0.250 0.750 1
Mg2 Mg 0.250 0.750 0.250 1
Mg3 Mg 0.750 0.250 0.250 1
Mg4 Mg 0.750 0.750 0.750 1
Cd1 Cd 0.250 0.250 0.250 1
Cd2 Cd 0.250 0.750 0.750 1
Cd3 Cd 0.750 0.250 0.750 1
Cd4 Cd 0.750 0.750 0.250 1

Record 3
# PBE SrNdMgCd, optimized geometry
# magnetic moment: 0.19 μB per formula unit
# space group: No. 99
# calculated volume: 127 Å³/f.u.
# final energy: -9.736 eV per cell
data_SrNdMgCd
_chemical_formula_sum 'Sr1 Nd1 Mg1 Cd1'
_symmetry_space_group_name_H-M 'P 1'
_symmetry_Int_Tables_number 1
_symmetry_space_group_name_Hall 'P 1'
_cell_length_a 4.004
_cell_length_b 4.004
_cell_length_c 7.934
_cell_angle_alpha 90.00
_cell_angle_beta 90.00
_cell_angle_gamma 90.00
loop_
_atom_site_label
_atom_site_type_symbol
_atom_site_fract_x
_atom_site_fract_y
_atom_site_fract_z
_atom_site_occupancy
Sr1 Sr 0.000 0.000 0.000 1
Nd1 Nd 0.000 0.000 0.513 1
Mg1 Mg 0.500 0.500 0.282 1
Cd1 Cd 0.500 0.500 0.730 1

Record 4
# PBE SrNdMg2Cd4, optimized geometry
# magnetic moment: 0.00 μB per formula unit
# space group: No. 166
# calculated volume: 206 Å³/f.u.
# final energy: -15.569 eV per cell
data_SrNdMg2Cd4
_chemical_formula_sum 'Sr1 Nd1 Mg2 Cd4'
_symmetry_space_group_name_H-M 'P 1'
_symmetry_Int_Tables_number 1
_symmetry_space_group_name_Hall 'P 1'
_cell_length_a 9.160
_cell_length_b 9.160
_cell_length_c 9.160
_cell_angle_alpha 33.25
_cell_angle_beta 33.25
_cell_angle_gamma 33.25
loop_
_atom_site_label
_atom_site_type_symbol
_atom_site_fract_x
_atom_site_fract_y
_atom_site_fract_z
_atom_site_occupancy
Sr1 Sr 0.000 0.000 0.000 1
Nd1 Nd 0.500 0.500 0.500 1
Mg1 Mg 0.248 0.248 0.248 1
Mg2 Mg 0.752 0.752 0.752 1
Cd1 Cd 0.126 0.126 0.126 1
Cd2 Cd 0.377 0.377 0.377 1
Cd3 Cd 0.623 0.623 0.623 1
Cd4 Cd 0.874 0.874 0.874 1

Record 5
# PBE TbNdMgCd, optimized geometry
# magnetic moment: 0.00 μB per formula unit
# space group: No. 216
# calculated volume: 112 Å³/f.u.
# final energy: -50.898 eV per cell
data_TbNdMgCd
_chemical_formula_sum 'Tb4 Nd4 Mg4 Cd4'
_symmetry_space_group_name_H-M 'P 1'
_symmetry_Int_Tables_number 1
_symmetry_space_group_name_Hall 'P 1'
_cell_length_a 7.644
_cell_length_b 7.644
_cell_length_c 7.644
_cell_angle_alpha 90.00
_cell_angle_beta 90.00
_cell_angle_gamma 90.00
loop_
_atom_site_label
_atom_site_type_symbol
_atom_site_fract_x
_atom_site_fract_y
_atom_site_fract_z
_atom_site_occupancy
Tb1 Tb 0.000 0.000 0.000 1
Tb2 Tb 0.000 0.500 0.500 1
Tb3 Tb 0.500 0.000 0.500 1
Tb4 Tb 0.500 0.500 0.000 1
Nd1 Nd 0.000 0.000 0.500 1
Nd2 Nd 0.000 0.500 0.000 1
Nd3 Nd 0.500 0.000 0.000 1
Nd4 Nd 0.500 0.500 0.500 1
Mg1 Mg 0.250 0.250 0.250 1
Mg2 Mg 0.250 0.750 0.750 1
Mg3 Mg 0.750 0.250 0.750 1
Mg4 Mg 0.750 0.750 0.250 1
Cd1 Cd 0.250 0.250 0.750 1
Cd2 Cd 0.250 0.750 0.250 1
Cd3 Cd 0.750 0.250 0.250 1
Cd4 Cd 0.750 0.750 0.750 1

Record 6
# PBE TbNdMgCd, optimized geometry
# magnetic moment: 0.00 μB per formula unit
# space group: No. 99
# calculated volume: 112 Å³/f.u.
# final energy: -12.734 eV per cell
data_TbNdMgCd
_chemical_formula_sum 'Tb1 Nd1 Mg1 Cd1'
_symmetry_space_group_name_H-M 'P 1'
_symmetry_Int_Tables_number 1
_symmetry_space_group_name_Hall 'P 1'
_cell_length_a 3.819
_cell_length_b 3.819
_cell_length_c 7.653
_cell_angle_alpha 90.00
_cell_angle_beta 90.00
_cell_angle_gamma 90.00
loop_
_atom_site_label
_atom_site_type_symbol
_atom_site_fract_x
_atom_site_fract_y
_atom_site_fract_z
_atom_site_occupancy
Tb1 Tb 0.000 0.000 0.000 1
Nd1 Nd 0.000 0.000 0.501 1
Mg1 Mg 0.500 0.500 0.242 1
Cd1 Cd 0.500 0.500 0.764 1

Record 7
# PBE NdThMgCd, optimized geometry
# magnetic moment: 0.00 μB per formula unit
# space group: No. 216
# calculated volume: 114 Å³/f.u.
# final energy: -59.958 eV per cell
data_NdThMgCd
_chemical_formula_sum 'Nd4 Th4 Mg4 Cd4'
_symmetry_space_group_name_H-M 'P 1'
_symmetry_Int_Tables_number 1
_symmetry_space_group_name_Hall 'P 1'
_cell_length_a 7.702
_cell_length_b 7.702
_cell_length_c 7.702
_cell_angle_alpha 90.00
_cell_angle_beta 90.00
_cell_angle_gamma 90.00
loop_
_atom_site_label
_atom_site_type_symbol
_atom_site_fract_x
_atom_site_fract_y
_atom_site_fract_z
_atom_site_occupancy
Nd1 Nd 0.000 0.000 0.000 1
Nd2 Nd 0.000 0.500 0.500 1
Nd3 Nd 0.500 0.000 0.500 1
Nd4 Nd 0.500 0.500 0.000 1
Th1 Th 0.000 0.000 0.500 1
Th2 Th 0.000 0.500 0.000 1
Th3 Th 0.500 0.000 0.000 1
Th4 Th 0.500 0.500 0.500 1
Mg1 Mg 0.250 0.250 0.750 1
Mg2 Mg 0.250 0.750 0.250 1
Mg3 Mg 0.750 0.250 0.250 1
Mg4 Mg 0.750 0.750 0.750 1
Cd1 Cd 0.250 0.250 0.250 1
Cd2 Cd 0.250 0.750 0.750 1
Cd3 Cd 0.750 0.250 0.750 1
Cd4 Cd 0.750 0.750 0.250 1

Record 8
# PBE NdMgTlCd, optimized geometry
# magnetic moment: 0.00 μB per formula unit
# space group: No. 216
# calculated volume: 104 Å³/f.u.
# final energy: -43.366 eV per cell
data_NdMgTlCd
_chemical_formula_sum 'Nd4 Mg4 Tl4 Cd4'
_symmetry_space_group_name_H-M 'P 1'
_symmetry_Int_Tables_number 1
_symmetry_space_group_name_Hall 'P 1'
_cell_length_a 7.465
_cell_length_b 7.465
_cell_length_c 7.465
_cell_angle_alpha 90.00
_cell_angle_beta 90.00
_cell_angle_gamma 90.00
loop_
_atom_site_label
_atom_site_type_symbol
_atom_site_fract_x
_atom_site_fract_y
_atom_site_fract_z
_atom_site_occupancy
Nd1 Nd 0.000 0.000 0.000 1
Nd2 Nd 0.000 0.500 0.500 1
Nd3 Nd 0.500 0.000 0.500 1
Nd4 Nd 0.500 0.500 0.000 1
Mg1 Mg 0.000 0.000 0.500 1
Mg2 Mg 0.000 0.500 0.000 1
Mg3 Mg 0.500 0.000 0.000 1
Mg4 Mg 0.500 0.500 0.500 1
Tl1 Tl 0.250 0.250 0.750 1
Tl2 Tl 0.250 0.750 0.250 1
Tl3 Tl 0.750 0.250 0.250 1
Tl4 Tl 0.750 0.750 0.750 1
Cd1 Cd 0.250 0.250 0.250 1
Cd2 Cd 0.250 0.750 0.750 1
Cd3 Cd 0.750 0.250 0.750 1
Cd4 Cd 0.750 0.750 0.250 1

Record 9
# PBE NdTmMgCd, optimized geometry
# magnetic moment: 0.00 μB per formula unit
# space group: No. 99
# calculated volume: 109 Å³/f.u.
# final energy: -12.516 eV per cell
data_NdTmMgCd
_chemical_formula_sum 'Nd1 Tm1 Mg1 Cd1'
_symmetry_space_group_name_H-M 'P 1'
_symmetry_Int_Tables_number 1
_symmetry_space_group_name_Hall 'P 1'
_cell_length_a 3.758
_cell_length_b 3.758
_cell_length_c 7.743
_cell_angle_alpha 90.00
_cell_angle_beta 90.00
_cell_angle_gamma 90.00
loop_
_atom_site_label
_atom_site_type_symbol
_atom_site_fract_x
_atom_site_fract_y
_atom_site_fract_z
_atom_site_occupancy
Nd1 Nd 0.000 0.000 0.000 1
Tm1 Tm 0.000 0.000 0.497 1
Mg1 Mg 0.500 0.500 0.734 1
Cd1 Cd 0.500 0.500 0.269 1

Record 10
# PBE NdTmMgCd, optimized geometry
# magnetic moment: 0.00 μB per formula unit
# space group: No. 216
# calculated volume: 109 Å³/f.u.
# final energy: -50.109 eV per cell
data_NdTmMgCd
_chemical_formula_sum 'Nd4 Tm4 Mg4 Cd4'
_symmetry_space_group_name_H-M 'P 1'
_symmetry_Int_Tables_number 1
_symmetry_space_group_name_Hall 'P 1'
_cell_length_a 7.592
_cell_length_b 7.592
_cell_length_c 7.592
_cell_angle_alpha 90.00
_cell_angle_beta 90.00
_cell_angle_gamma 90.00
loop_
_atom_site_label
_atom_site_type_symbol
_atom_site_fract_x
_atom_site_fract_y
_atom_site_fract_z
_atom_site_occupancy
Nd1 Nd 0.000 0.000 0.000 1
Nd2 Nd 0.000 0.500 0.500 1
Nd3 Nd 0.500 0.000 0.500 1
Nd4 Nd 0.500 0.500 0.000 1
Tm1 Tm 0.000 0.000 0.500 1
Tm2 Tm 0.000 0.500 0.000 1
Tm3 Tm 0.500 0.000 0.000 1
Tm4 Tm 0.500 0.500 0.500 1
Mg1 Mg 0.250 0.250 0.250 1
Mg2 Mg 0.250 0.750 0.750 1
Mg3 Mg 0.750 0.250 0.750 1
Mg4 Mg 0.750 0.750 0.250 1
Cd1 Cd 0.250 0.250 0.750 1
Cd2 Cd 0.250 0.750 0.250 1
Cd3 Cd 0.750 0.250 0.250 1
Cd4 Cd 0.750 0.750 0.750 1

Record 11
# PBE NdTmMg2Cd4, optimized geometry
# magnetic moment: 0.00 μB per formula unit
# space group: No. 166
# calculated volume: 190 Å³/f.u.
# final energy: -18.549 eV per cell
data_NdTmMg2Cd4
_chemical_formula_sum 'Nd1 Tm1 Mg2 Cd4'
_symmetry_space_group_name_H-M 'P 1'
_symmetry_Int_Tables_number 1
_symmetry_space_group_name_Hall 'P 1'
_cell_length_a 8.911
_cell_length_b 8.911
_cell_length_c 8.911
_cell_angle_alpha 33.34
_cell_angle_beta 33.34
_cell_angle_gamma 33.34
loop_
_atom_site_label
_atom_site_type_symbol
_atom_site_fract_x
_atom_site_fract_y
_atom_site_fract_z
_atom_site_occupancy
Nd1 Nd 0.000 0.000 0.000 1
Tm1 Tm 0.500 0.500 0.500 1
Mg1 Mg 0.249 0.249 0.249 1
Mg2 Mg 0.751 0.751 0.751 1
Cd1 Cd 0.128 0.128 0.128 1
Cd2 Cd 0.378 0.378 0.378 1
Cd3 Cd 0.622 0.622 0.622 1
Cd4 Cd 0.872 0.872 0.872 1

Record 12
# PBE Nd2TmMg5Cd2, optimized geometry
# magnetic moment: 0.00 μB per formula unit
# space group: No. 127
# calculated volume: 261 Å³/f.u.
# final energy: -50.724 eV per cell
data_Nd2TmMg5Cd2
_chemical_formula_sum 'Nd4 Tm2 Mg10 Cd4'
_symmetry_space_group_name_H-M 'P 1'
_symmetry_Int_Tables_number 1
_symmetry_space_group_name_Hall 'P 1'
_cell_length_a 10.562
_cell_length_b 10.562
_cell_length_c 4.688
_cell_angle_alpha 90.00
_cell_angle_beta 90.00
_cell_angle_gamma 90.00
loop_
_atom_site_label
_atom_site_type_symbol
_atom_site_fract_x
_atom_site_fract_y
_atom_site_fract_z
_atom_site_occupancy
Nd1 Nd 0.180 0.320 0.000 1
Nd2 Nd 0.320 0.820 0.000 1
Nd3 Nd 0.680 0.180 0.000 1
Nd4 Nd 0.820 0.680 0.000 1
Tm1 Tm 0.000 0.000 0.000 1
Tm2 Tm 0.500 0.500 0.000 1
Mg1 Mg 0.000 0.500 0.500 1
Mg2 Mg 0.059 0.790 0.500 1
Mg3 Mg 0.210 0.059 0.500 1
Mg4 Mg 0.290 0.559 0.500 1
Mg5 Mg 0.441 0.290 0.500 1
Mg6 Mg 0.500 0.000 0.500 1
Mg7 Mg 0.559 0.710 0.500 1
Mg8 Mg 0.710 0.441 0.500 1
Mg9 Mg 0.790 0.941 0.500 1
Mg10 Mg 0.941 0.210 0.500 1
Cd1 Cd 0.115 0.615 0.000 1
Cd2 Cd 0.385 0.115 0.000 1
Cd3 Cd 0.615 0.885 0.000 1
Cd4 Cd 0.885 0.385 0.000 1

Record 13
# PBE Nd4MgZn2Cd, optimized geometry
# magnetic moment: 0.00 μB per formula unit
# space group: No. 166
# calculated volume: 216 Å³/f.u.
# final energy: -26.059 eV per cell
data_Nd4MgZn2Cd
_chemical_formula_sum 'Nd4 Mg1 Zn2 Cd1'
_symmetry_space_group_name_H-M 'P 1'
_symmetry_Int_Tables_number 1
_symmetry_space_group_name_Hall 'P 1'
_cell_length_a 9.277
_cell_length_b 9.277
_cell_length_c 9.277
_cell_angle_alpha 33.44
_cell_angle_beta 33.44
_cell_angle_gamma 33.44
loop_
_atom_site_label
_atom_site_type_symbol
_atom_site_fract_x
_atom_site_fract_y
_atom_site_fract_z
_atom_site_occupancy
Nd1 Nd 0.124 0.124 0.124 1
Nd2 Nd 0.375 0.375 0.375 1
Nd3 Nd 0.625 0.625 0.625 1
Nd4 Nd 0.876 0.876 0.876 1
Mg1 Mg 0.500 0.500 0.500 1
Zn1 Zn 0.246 0.246 0.246 1
Zn2 Zn 0.754 0.754 0.754 1
Cd1 Cd 0.000 0.000 0.000 1

| no. | ΔE_f (eV per atom) | Fermi-level density of states (states/eV/cell) |
| --- | --- | --- |
| 1 | -0.2135 | 4.38 |
| 2 | -0.1667 | 12.27 |
| 3 | -0.1940 | 3.99 |
| 4 | -0.2837 | 3.77 |
| 5 | -0.2042 | 18.94 |
| 6 | -0.2064 | 4.87 |
| 7 | -0.0730 | 19.23 |
| 8 | -0.2994 | 4.87 |
| 9 | -0.1919 | 4.75 |
| 10 | -0.1945 | 18.01 |
| 11 | -0.3075 | 2.89 |
| 12 | -0.1552 | 12.28 |
| 13 | -0.2413 | 8.71 |